Computed, not measured: a geometry-optimized Ac3NdZn4 structure at the PBE-GGA level of DFT.

```
data_Ac3NdZn4
_cell_length_a 3.8572
_cell_length_b 3.8572
_cell_length_c 15.4064
_cell_angle_alpha 90.00
_cell_angle_beta 90.00
_cell_angle_gamma 90.00
_space_group_name_H-M_alt 'P 4/m m m'
_space_group_IT_number 123
_space_group_name_Hall '-P 4 2'
loop_
_atom_site_label
_atom_site_type_symbol
_atom_site_fract_x
_atom_site_fract_y
_atom_site_fract_z
Ac1 Ac 0.0000 0.0000 0.0000
Ac2 Ac 0.0000 0.0000 0.2579
Nd1 Nd 0.0000 0.0000 0.5000
Zn1 Zn 0.5000 0.5000 0.1279
Zn2 Zn 0.5000 0.5000 0.3914
```

Output
- M_tot (Bohr magnetons per cell) = 0.00
- total energy (eV/cell) = -24.20
- volume (Å³/cell) = 229
- ΔE_f (kJ per mole of atoms) = -24.2

***

Computed, not measured: a geometry-optimized Ac3NdZn8 structure at the PBE-GGA level of DFT.

```
data_Ac3NdZn8
_cell_length_a 5.9045
_cell_length_b 5.9045
_cell_length_c 9.0217
_cell_angle_alpha 90.00
_cell_angle_beta 90.00
_cell_angle_gamma 120.00
_space_group_name_H-M_alt 'P 3 m 1'
_space_group_IT_number 156
_space_group_name_Hall 'P 3 -2"'
loop_
_atom_site_label
_atom_site_type_symbol
_atom_site_fract_x
_atom_site_fract_y
_atom_site_fract_z
Ac1 Ac 0.0000 0.0000 0.0000
Ac2 Ac 0.0000 0.0000 0.4033
Ac3 Ac 0.3333 0.6667 0.8859
Nd1 Nd 0.3333 0.6667 0.5026
Zn1 Zn 0.3551 0.1775 0.6958
Zn2 Zn 0.5009 0.0017 0.2022
Zn3 Zn 0.6667 0.3333 0.4447
Zn4 Zn 0.6667 0.3333 0.9574
```

Output
- M_tot (Bohr magnetons per cell) = 0.00
- total energy (eV/cell) = -30.04
- volume (Å³/cell) = 272
- ΔE_f (kJ per mole of atoms) = -22.2